Density functional theory data (meta-GGA SCAN) for a crystal of MnSi4P relaxed with PBEsol.

Properties
* total magnetization: 15.7 Bohr magnetons per cell
* energy relative to the elements, uncorrected: 0.557 eV/atom

```
data_MnSi4P
_space_group_name_H-M_alt 'F -4 3 m'
_space_group_IT_number 216
_space_group_name_Hall 'F -4 2 3'
_cell_length_a 6.995
_cell_length_b 6.995
_cell_length_c 6.995
_cell_angle_alpha 90.00
_cell_angle_beta 90.00
_cell_angle_gamma 90.00
loop_
_atom_site_label
_atom_site_type_symbol
_atom_site_fract_x
_atom_site_fract_y
_atom_site_fract_z
Mn1 Mn 0.000 0.000 0.000
Si1 Si 0.125 0.125 0.625
P1 P 0.250 0.250 0.250
```

---

Density functional theory data (meta-GGA SCAN) for a crystal of TaMn2SiP relaxed with PBEsol.

Properties
* total magnetization: 6.1 Bohr magnetons per cell
* energy relative to the elements, uncorrected: 1.331 eV/atom

```
data_TaMn2SiP
_space_group_name_H-M_alt 'P 4/m m m'
_space_group_IT_number 123
_space_group_name_Hall '-P 4 2'
_cell_length_a 4.599
_cell_length_b 4.599
_cell_length_c 4.786
_cell_angle_alpha 90.00
_cell_angle_beta 90.00
_cell_angle_gamma 90.00
loop_
_atom_site_label
_atom_site_type_symbol
_atom_site_fract_x
_atom_site_fract_y
_atom_site_fract_z
Ta1 Ta 0.000 0.000 0.000
Mn1 Mn 0.000 0.500 0.000
Si1 Si 0.000 0.000 0.500
P1 P 0.500 0.500 0.500
```

---

Density functional theory data (meta-GGA SCAN) for a crystal of MnSn3P relaxed with PBEsol.

Properties
* total magnetization: 4.8 Bohr magnetons per cell
* DFT formation energy: 0.7390 eV per atom

```
data_MnSn3P
_space_group_name_H-M_alt 'P m -3 m'
_space_group_IT_number 221
_space_group_name_Hall '-P 4 2 3'
_cell_length_a 5.060
_cell_length_b 5.060
_cell_length_c 5.060
_cell_angle_alpha 90.00
_cell_angle_beta 90.00
_cell_angle_gamma 90.00
loop_
_atom_site_label
_atom_site_type_symbol
_atom_site_fract_x
_atom_site_fract_y
_atom_site_fract_z
Mn1 Mn 0.000 0.000 0.000
Sn1 Sn 0.000 0.500 0.500
P1 P 0.500 0.500 0.500
```

---

Density functional theory data (meta-GGA SCAN) for a crystal of SrMnP2 relaxed with PBEsol.

Properties
* excess energy over the best structure of this formula in the dataset: 190.7 meV per atom
* total magnetization: 5.6 Bohr magnetons per cell
* DFT formation energy: -0.4374 eV per atom

```
data_SrMnP2
_space_group_name_H-M_alt 'I m m 2'
_space_group_IT_number 44
_cell_length_a 3.148
_cell_length_b 3.411
_cell_length_c 13.472
_cell_angle_alpha 90.00
_cell_angle_beta 90.00
_cell_angle_gamma 90.00
loop_
_space_group_symop_operation_xyz
'x,y,z'
'-x,-y,z'
'-x,y,z'
'x,-y,z'
'x+1/2,y+1/2,z+1/2'
'-x+1/2,-y+1/2,z+1/2'
'-x+1/2,y+1/2,z+1/2'
'x+1/2,-y+1/2,z+1/2'
loop_
_atom_site_label
_atom_site_type_symbol
_atom_site_fract_x
_atom_site_fract_y
_atom_site_fract_z
Sr1 Sr 0.000 0.000 0.000
Mn1 Mn 0.000 0.500 0.744
P1 P 0.000 0.000 0.364
P2 P 0.000 0.500 0.184
```

---

Density functional theory data (meta-GGA SCAN) for a crystal of SrMn2P relaxed with PBEsol.

Properties
* total magnetization: 14.6 Bohr magnetons per cell
* DFT formation energy: -0.0722 eV per atom

```
data_SrMn2P
_space_group_name_H-M_alt 'I m m m'
_space_group_IT_number 71
_space_group_name_Hall '-I 2 2'
_cell_length_a 3.190
_cell_length_b 5.169
_cell_length_c 9.200
_cell_angle_alpha 90.00
_cell_angle_beta 90.00
_cell_angle_gamma 90.00
loop_
_atom_site_label
_atom_site_type_symbol
_atom_site_fract_x
_atom_site_fract_y
_atom_site_fract_z
Sr1 Sr 0.000 0.000 0.000
Mn1 Mn 0.000 0.500 0.185
P1 P 0.000 0.000 0.500
```

---

Density functional theory data (meta-GGA SCAN) for a crystal of SrMnP relaxed with PBEsol.

Properties
* total magnetization: 3.7 Bohr magnetons per cell
* DFT formation energy: -0.8242 eV per atom

```
data_SrMnP
_space_group_name_H-M_alt 'P 4/n m m'
_space_group_IT_number 129
_cell_length_a 3.744
_cell_length_b 3.744
_cell_length_c 9.169
_cell_angle_alpha 90.00
_cell_angle_beta 90.00
_cell_angle_gamma 90.00
loop_
_space_group_symop_operation_xyz
'x,y,z'
'-x,-y,-z'
'-y+1/2,x,z'
'y+1/2,-x,-z'
'-x+1/2,-y+1/2,z'
'x+1/2,y+1/2,-z'
'y,-x+1/2,z'
'-y,x+1/2,-z'
'x+1/2,-y,-z'
'-x+1/2,y,z'
'-y,-x,-z'
'y,x,z'
'-x,y+1/2,-z'
'x,-y+1/2,z'
'y+1/2,x+1/2,-z'
'-y+1/2,-x+1/2,z'
loop_
_atom_site_label
_atom_site_type_symbol
_atom_site_fract_x
_atom_site_fract_y
_atom_site_fract_z
Sr1 Sr 0.250 0.250 0.196
Mn1 Mn 0.250 0.750 0.500
P1 P 0.250 0.250 0.640
```

---

Density functional theory data (meta-GGA SCAN) for a crystal of SrMnP2 relaxed with PBEsol.

Properties
* excess energy over the best structure of this formula in the dataset: 0.0 meV per atom
* total magnetization: 4.5 Bohr magnetons per cell
* DFT formation energy: -0.6282 eV per atom

```
data_SrMnP2
_space_group_name_H-M_alt 'I 41/a m d'
_space_group_IT_number 141
_cell_length_a 4.898
_cell_length_b 4.898
_cell_length_c 13.915
_cell_angle_alpha 90.00
_cell_angle_beta 90.00
_cell_angle_gamma 90.00
loop_
_space_group_symop_operation_xyz
'x,y,z'
'-x,-y,-z'
'-y+1/4,x+3/4,z+1/4'
'y+1/4,-x+3/4,-z+1/4'
'-x+1/2,-y,z+1/2'
'x+1/2,y,-z+1/2'
'y+1/4,-x+1/4,z+3/4'
'-y+1/4,x+1/4,-z+3/4'
'x,-y,-z'
'-x,y,z'
'-y+1/4,-x+1/4,-z+3/4'
'y+1/4,x+1/4,z+3/4'
'-x+1/2,y,-z+1/2'
'x+1/2,-y,z+1/2'
'y+1/4,x+3/4,-z+1/4'
'-y+1/4,-x+3/4,z+1/4'
'x+1/2,y+1/2,z+1/2'
'-x+1/2,-y+1/2,-z+1/2'
'-y+3/4,x+1/4,z+3/4'
'y+3/4,-x+1/4,-z+3/4'
'-x,-y+1/2,z'
'x,y+1/2,-z'
'y+3/4,-x+3/4,z+1/4'
'-y+3/4,x+3/4,-z+1/4'
'x+1/2,-y+1/2,-z+1/2'
'-x+1/2,y+1/2,z+1/2'
'-y+3/4,-x+3/4,-z+1/4'
'y+3/4,x+3/4,z+1/4'
'-x,y+1/2,-z'
'x,-y+1/2,z'
'y+3/4,x+1/4,-z+3/4'
'-y+3/4,-x+1/4,z+3/4'
loop_
_atom_site_label
_atom_site_type_symbol
_atom_site_fract_x
_atom_site_fract_y
_atom_site_fract_z
Sr1 Sr 0.000 0.250 0.375
Mn1 Mn 0.000 0.250 0.875
P1 P 0.000 0.000 0.000
```

---

Density functional theory data (meta-GGA SCAN) for a crystal of SrMn2P relaxed with PBEsol.

Properties
* total magnetization: 6.0 Bohr magnetons per cell
* DFT formation energy: 0.2257 eV per atom

```
data_SrMn2P
_space_group_name_H-M_alt 'P 4/m m m'
_space_group_IT_number 123
_space_group_name_Hall '-P 4 2'
_cell_length_a 3.014
_cell_length_b 3.014
_cell_length_c 7.099
_cell_angle_alpha 90.00
_cell_angle_beta 90.00
_cell_angle_gamma 90.00
loop_
_atom_site_label
_atom_site_type_symbol
_atom_site_fract_x
_atom_site_fract_y
_atom_site_fract_z
Sr1 Sr 0.000 0.000 0.000
Mn1 Mn 0.500 0.500 0.337
P1 P 0.000 0.000 0.500
```

---

Density functional theory data (meta-GGA SCAN) for a crystal of SrYMn2P relaxed with PBEsol.

Properties
* total magnetization: 8.6 Bohr magnetons per cell
* DFT formation energy: 0.9597 eV per atom

```
data_SrYMn2P
_space_group_name_H-M_alt 'P 4/m m m'
_space_group_IT_number 123
_space_group_name_Hall '-P 4 2'
_cell_length_a 4.854
_cell_length_b 4.854
_cell_length_c 5.352
_cell_angle_alpha 90.00
_cell_angle_beta 90.00
_cell_angle_gamma 90.00
loop_
_atom_site_label
_atom_site_type_symbol
_atom_site_fract_x
_atom_site_fract_y
_atom_site_fract_z
Sr1 Sr 0.000 0.000 0.000
Y1 Y 0.500 0.500 0.500
Mn1 Mn 0.000 0.500 0.000
P1 P 0.000 0.000 0.500
```

---

Density functional theory data (meta-GGA SCAN) for a crystal of Ta2MnP relaxed with PBEsol.

Properties
* total magnetization: 2.1 Bohr magnetons per cell
* DFT formation energy: -0.3062 eV per atom

```
data_Ta2MnP
_space_group_name_H-M_alt 'P 4 m m'
_space_group_IT_number 99
_cell_length_a 3.243
_cell_length_b 3.243
_cell_length_c 5.600
_cell_angle_alpha 90.00
_cell_angle_beta 90.00
_cell_angle_gamma 90.00
loop_
_space_group_symop_operation_xyz
'x,y,z'
'-y,x,z'
'-x,-y,z'
'y,-x,z'
'-x,y,z'
'y,x,z'
'x,-y,z'
'-y,-x,z'
loop_
_atom_site_label
_atom_site_type_symbol
_atom_site_fract_x
_atom_site_fract_y
_atom_site_fract_z
Ta1 Ta 0.000 0.000 0.000
Ta2 Ta 0.500 0.500 0.310
Mn1 Mn 0.000 0.000 0.539
P1 P 0.500 0.500 0.780
```

---

Density functional theory data (meta-GGA SCAN) for a crystal of TaMn2P relaxed with PBEsol.

Properties
* total magnetization: 4.1 Bohr magnetons per cell
* DFT formation energy: -0.3423 eV per atom

```
data_TaMn2P
_space_group_name_H-M_alt 'P 4/m m m'
_space_group_IT_number 123
_space_group_name_Hall '-P 4 2'
_cell_length_a 3.697
_cell_length_b 3.697
_cell_length_c 3.705
_cell_angle_alpha 90.00
_cell_angle_beta 90.00
_cell_angle_gamma 90.00
loop_
_atom_site_label
_atom_site_type_symbol
_atom_site_fract_x
_atom_site_fract_y
_atom_site_fract_z
Ta1 Ta 0.000 0.000 0.000
Mn1 Mn 0.000 0.500 0.500
P1 P 0.500 0.500 0.000
```

---

Density functional theory data (meta-GGA SCAN) for a crystal of TaMnP relaxed with PBEsol.

Properties
* total magnetization: 3.2 Bohr magnetons per cell
* DFT formation energy: 0.2561 eV per atom

```
data_TaMnP
_space_group_name_H-M_alt 'F -4 3 m'
_space_group_IT_number 216
_space_group_name_Hall 'F -4 2 3'
_cell_length_a 5.744
_cell_length_b 5.744
_cell_length_c 5.744
_cell_angle_alpha 90.00
_cell_angle_beta 90.00
_cell_angle_gamma 90.00
loop_
_atom_site_label
_atom_site_type_symbol
_atom_site_fract_x
_atom_site_fract_y
_atom_site_fract_z
Ta1 Ta 0.000 0.000 0.000
Mn1 Mn 0.250 0.250 0.250
P1 P 0.250 0.250 0.750
```

---

Density functional theory data (meta-GGA SCAN) for a crystal of TaMnP relaxed with PBEsol.

Properties
* total magnetization: 0.0 Bohr magnetons per cell
* DFT formation energy: -0.7449 eV per atom

```
data_TaMnP
_space_group_name_H-M_alt 'P n m a'
_space_group_IT_number 62
_cell_length_a 6.010
_cell_length_b 3.638
_cell_length_c 6.914
_cell_angle_alpha 90.00
_cell_angle_beta 90.00
_cell_angle_gamma 90.00
loop_
_space_group_symop_operation_xyz
'x,y,z'
'-x,-y,-z'
'-x+1/2,-y,z+1/2'
'x+1/2,y,-z+1/2'
'x+1/2,-y+1/2,-z+1/2'
'-x+1/2,y+1/2,z+1/2'
'-x,y+1/2,-z'
'x,-y+1/2,z'
loop_
_atom_site_label
_atom_site_type_symbol
_atom_site_fract_x
_atom_site_fract_y
_atom_site_fract_z
Ta1 Ta 0.021 0.250 0.179
Mn1 Mn 0.152 0.250 0.560
P1 P 0.218 0.750 0.379
```

---

Density functional theory data (meta-GGA SCAN) for a crystal of Ta2MnP relaxed with PBEsol.

Properties
* total magnetization: 3.6 Bohr magnetons per cell
* DFT formation energy: -0.0437 eV per atom

```
data_Ta2MnP
_space_group_name_H-M_alt 'R -3 m'
_space_group_IT_number 166
_space_group_name_Hall '-R 3 2"'
_cell_length_a 3.2082
_cell_length_b 3.2082
_cell_length_c 20.7176
_cell_angle_alpha 90.00
_cell_angle_beta 90.00
_cell_angle_gamma 120.00
loop_
_atom_site_label
_atom_site_type_symbol
_atom_site_fract_x
_atom_site_fract_y
_atom_site_fract_z
Ta1 Ta 0.0000 0.0000 0.2480
Mn1 Mn 0.0000 0.0000 0.0000
P1 P 0.0000 0.0000 0.5000
```